! MgCd2Ni2 (PBEsol, optimized geometry); values from VASP
&SYSTEM
  ibrav = 0, nat = 5, ntyp = 3
/
ATOMIC_SPECIES
Mg 24.30 Mg.upf
Cd 112.41 Cd.upf
Ni 58.69 Ni.upf
ATOMIC_POSITIONS angstrom
Mg 0.0000 0.0000 0.0000
Cd 1.5173 -2.6844 -1.4551
Cd 2.3779 -2.1519 1.1577
Ni 3.9301 -1.8912 -0.9091
Ni -0.0350 -2.9451 0.6117
CELL_PARAMETERS angstrom
-0.1398 -1.9480 3.4479
-1.8611 -3.0130 -1.7778
5.8961 0.1247 -1.9675
! formation enthalpy at 0 K: 182 meV per atom